Computed, not measured: crystalline Ta2BeTe at its relaxed geometry at the PBE level of DFT.

Values from the calculation:
Relative energy among the computed polymorphs (meV per atom): 250
Energy relative to the elements, uncorrected (eV per atom): 0.37
DFT total energy (eV per atom): -7.2716
Size of the total moment (μB/atom): 0.000
Density (Mg/m³): 11.88

Cell lengths 3.4155, 4.6650, 4.3718 Å; angles 90.00, 90.00, 90.00 degrees
Sites, in units of the cell vectors:
1 Be 0.0000 0.5000 0.5000
2 Ta 0.0000 0.0000 0.0000
3 Ta 0.5000 0.5000 0.0000
4 Te 0.5000 0.0000 0.5000

=====

Computed, not measured: crystalline TaBe2Te at its relaxed geometry at the PBE level of DFT.

Values from the calculation:
Energy relative to the elements, uncorrected (eV per atom): 0.33
DFT total energy (eV per atom): -5.2817
Size of the total moment (μB/atom): 0.000
Density (Mg/m³): 9.24

Cell lengths 5.0884, 5.0884, 5.0884 Å; angles 137.83, 137.83, 61.16 degrees
Sites, in units of the cell vectors:
1 Be 0.2500 0.7500 0.5000
2 Be 0.0000 0.0000 0.0000
3 Ta 0.5000 0.5000 0.0000
4 Te 0.7500 0.2500 0.5000

=====

Computed, not measured: crystalline TaBe2Te at its relaxed geometry at the PBE level of DFT.

Values from the calculation:
Energy relative to the elements, uncorrected (eV per atom): 0.34
DFT total energy (eV per atom): -5.2757
Size of the total moment (μB/atom): 0.000
Density (Mg/m³): 8.53

Cell lengths 3.5474, 3.3782, 5.3362 Å; angles 83.62, 90.00, 90.00 degrees
Sites, in units of the cell vectors:
1 Be 0.0000 0.7054 0.4315
2 Be 0.0000 0.7946 0.0685
3 Te 0.5000 0.7500 0.7500
4 Ta 0.5000 0.2500 0.2500

=====

Computed, not measured: crystalline Ta2BeTe at its relaxed geometry at the PBE level of DFT.

Values from the calculation:
Relative energy among the computed polymorphs (meV per atom): 0
Energy relative to the elements, uncorrected (eV per atom): 0.12
DFT total energy (eV per atom): -7.5212
Size of the total moment (μB/atom): 0.000
Density (Mg/m³): 11.83

Cell lengths 3.4302, 3.4302, 5.9453 Å; angles 90.00, 90.00, 90.00 degrees
Sites, in units of the cell vectors:
1 Te 0.0000 0.0000 0.4993
2 Ta 0.0000 0.0000 0.9731
3 Be 0.5000 0.5000 0.7984
4 Ta 0.5000 0.5000 0.2292

=====

Computed, not measured: crystalline Ta2BeTe at its relaxed geometry at the PBE level of DFT.

Values from the calculation:
Relative energy among the computed polymorphs (meV per atom): 334
Energy relative to the elements, uncorrected (eV per atom): 0.46
DFT total energy (eV per atom): -7.1874
Size of the total moment (μB/atom): 0.000
Density (Mg/m³): 12.01

Cell lengths 4.4681, 4.4681, 3.4992 Å; angles 90.00, 90.00, 99.27 degrees
Sites, in units of the cell vectors:
1 Ta 0.0000 0.0000 0.0000
2 Te 0.5000 0.0000 0.5000
3 Be 0.0000 0.5000 0.5000
4 Ta 0.5000 0.5000 0.0000

=====

Computed, not measured: crystalline TaBe4Te at its relaxed geometry at the PBE level of DFT.

Values from the calculation:
Energy relative to the elements, uncorrected (eV per atom): 0.28
DFT total energy (eV per atom): -4.7047
Size of the total moment (μB/atom): 0.000
Density (Mg/m³): 7.75

Cell lengths 4.7086, 4.7086, 4.7086 Å; angles 60.00, 60.00, 60.00 degrees
Sites, in units of the cell vectors:
1 Be 0.8563 0.3812 0.3812
2 Be 0.3812 0.8563 0.3812
3 Ta 0.7500 0.7500 0.7500
4 Te 0.0000 0.0000 0.0000
5 Be 0.3812 0.3812 0.3812
6 Be 0.3812 0.3812 0.8563

=====

Computed, not measured: crystalline TaBe2Te at its relaxed geometry at the PBE level of DFT.

Values from the calculation:
Energy relative to the elements, uncorrected (eV per atom): 0.23
DFT total energy (eV per atom): -5.3862
Size of the total moment (μB/atom): 0.000
Density (Mg/m³): 8.22

Cell lengths 5.6811, 5.6811, 5.6811 Å; angles 39.23, 39.23, 39.23 degrees
Sites, in units of the cell vectors:
1 Te 0.7487 0.7487 0.7487
2 Ta 0.5347 0.5347 0.5347
3 Be 0.2773 0.2773 0.2773
4 Be 0.9393 0.9393 0.9393

=====

Computed, not measured: crystalline Ta2BeTe at its relaxed geometry at the PBE level of DFT.

Values from the calculation:
Relative energy among the computed polymorphs (meV per atom): 260
Energy relative to the elements, uncorrected (eV per atom): 0.38
DFT total energy (eV per atom): -7.2611
Size of the total moment (μB/atom): 0.000
Density (Mg/m³): 11.69

Cell lengths 4.4228, 3.2016, 5.1236 Å; angles 77.44, 90.00, 90.00 degrees
Sites, in units of the cell vectors:
1 Ta 0.0000 0.9847 0.9494
2 Be 0.5000 0.7058 0.8120
3 Ta 0.5000 0.1816 0.2457
4 Te 0.0000 0.6278 0.4929